KCa3Co: relaxed, PBE.

The structure belongs to space group Pm-3m (No. 221); the cell edges are 5.8808, 5.8808 and 5.8808 Å and the angles 90.00°, 90.00° and 90.00°. The asymmetric unit holds K at (0.0000, 0.0000, 0.0000), Ca at (0.0000, 0.0000, 0.5000) and Co at (0.5000, 0.5000, 0.5000).

The crystal system is cubic. The calculation puts the magnetization at 0.31 μB/atom. For the formation energy, the calculation gives 1661 meV/atom. The energy relative to the lowest polymorph listed for this composition is 1460 meV per atom. The value obtained for the calculated volume is 40.68 A^3/atom.